[1]
Material: Li2ThUS4
Method: DFT, GGA-PBE
State: relaxed

Computed properties:
DFT total energy (eV per cell): -50.975
Energy relative to the elements, uncorrected (eV/f.u.): -11.9
Crystal system: monoclinic
Symmetry: P2/m
M_tot (μB/f.u.): 3.5

The structure in POSCAR format:
```
Li2ThUS4
1.0
3.9054 0.0000 0.0000
0.0000 6.7969 0.1222
0.0000 -2.3661 6.2959
Li S Th U
2 4 1 1
Direct
0.5000 0.0000 0.5000
0.0000 0.5000 0.5000
0.5000 0.2601 0.2654
0.0000 0.7490 0.2594
0.0000 0.2510 0.7406
0.5000 0.7399 0.7346
0.0000 0.0000 0.0000
0.5000 0.5000 0.0000
```


[2]
Material: Li3ThU2S6
Method: DFT, GGA-PBE
State: relaxed

Computed properties:
DFT total energy (eV per cell): -77.906
Energy relative to the elements, uncorrected (eV/f.u.): -17.4
Crystal system: monoclinic
Symmetry: C2/m
M_tot (μB/f.u.): 6.7

The structure in POSCAR format:
```
Li3ThU2S6
1.0
-5.0785 0.3246 -4.4240
5.0616 -4.3430 -0.9934
-3.1359 -3.0746 5.0859
S U Li Th
6 2 3 1
Direct
0.7481 0.7481 0.2623
0.5735 0.9135 0.7398
0.0865 0.4265 0.2602
0.9135 0.5735 0.7398
0.2519 0.2519 0.7377
0.4265 0.0865 0.2602
0.6663 0.3337 0.0000
0.3337 0.6663 0.0000
0.1680 0.8320 0.5000
0.8320 0.1680 0.5000
0.5000 0.5000 0.5000
0.0000 0.0000 0.0000
```


[3]
Material: LiYTh2S5
Method: DFT, GGA-PBE
State: relaxed

Computed properties:
DFT total energy (eV per cell): -120.475
Energy relative to the elements, uncorrected (eV/f.u.): -16.4
Crystal system: orthorhombic
Symmetry: Cmc2_1
M_tot (μB/f.u.): 0.0

The structure in POSCAR format:
```
LiYTh2S5
1.0
3.9054 0.0000 0.0000
-1.9527 8.2146 0.0000
0.0000 0.0000 11.9569
S Th Li Y
10 4 2 2
Direct
0.0427 0.0854 0.0730
0.9573 0.9146 0.5730
0.5003 0.0006 0.2860
0.3613 0.7227 0.9994
0.4997 0.9994 0.7860
0.6916 0.3831 0.8405
0.7091 0.4182 0.1609
0.6387 0.2773 0.4994
0.2909 0.5818 0.6609
0.3084 0.6169 0.3405
0.1112 0.2225 0.6820
0.1282 0.2565 0.3000
0.8718 0.7435 0.8000
0.8888 0.7775 0.1820
0.5107 0.0214 0.9814
0.4893 0.9786 0.4814
0.1951 0.3902 0.0006
0.8049 0.6098 0.5006
```


[4]
Material: LiY2Th3S6
Method: DFT, GGA-PBE
State: relaxed

Computed properties:
DFT total energy (eV per cell): -83.937
Energy relative to the elements, uncorrected (eV/f.u.): -22.1
Crystal system: monoclinic
Symmetry: C2/m
M_tot (μB/f.u.): 0.0

The structure in POSCAR format:
```
LiY2Th3S6
1.0
-0.7705 1.8805 6.3783
-2.9504 -5.5803 -2.2290
6.7225 -2.3483 0.3329
Th S Li Y
3 6 1 2
Direct
0.8315 0.1685 0.5000
0.1685 0.8315 0.5000
0.5000 0.5000 0.5000
0.9239 0.6007 0.7720
0.2476 0.2476 0.7694
0.3993 0.0761 0.2280
0.0761 0.3993 0.2280
0.7524 0.7524 0.2306
0.6007 0.9239 0.7720
0.0000 0.0000 0.0000
0.6672 0.3328 0.0000
0.3328 0.6672 0.0000
```


[5]
Material: LiYTh2S4
Method: DFT, GGA-PBE
State: relaxed

Computed properties:
DFT total energy (eV per cell): -54.046
Energy relative to the elements, uncorrected (eV/f.u.): -14.3
Crystal system: monoclinic
Symmetry: P2/m
M_tot (μB/f.u.): 0.0

The structure in POSCAR format:
```
LiYTh2S4
1.0
-2.0911 -2.9974 1.3034
2.3282 -3.9584 -5.3682
5.6207 -3.0737 1.9490
Th S Li Y
2 4 1 1
Direct
0.5000 0.0000 0.5000
0.0000 0.0000 0.0000
0.5000 0.2704 0.7522
0.0000 0.7291 0.7627
0.5000 0.7296 0.2478
0.0000 0.2709 0.2373
0.5000 0.5000 0.0000
0.0000 0.5000 0.5000
```


[6]
Material: LiYThS4
Method: DFT, GGA-PBE
State: relaxed

Computed properties:
DFT total energy (eV per cell): -90.776
Energy relative to the elements, uncorrected (eV/f.u.): -13.1
Crystal system: orthorhombic
Symmetry: Imma
M_tot (μB/f.u.): 0.0

The structure in POSCAR format:
```
LiYThS4
1.0
-0.3251 -3.1086 -7.2426
-5.4458 -5.7582 -1.5798
-6.2220 1.8543 -4.8123
S Li Th Y
8 2 2 2
Direct
0.7567 0.2245 0.2622
0.7549 0.7572 0.2572
0.2433 0.2378 0.2755
0.2433 0.7755 0.7378
0.2307 0.7572 0.2572
0.7693 0.2428 0.7428
0.2451 0.2428 0.7428
0.7567 0.7622 0.7245
0.3671 0.3829 0.8829
0.6329 0.6171 0.1171
0.0000 0.0000 0.0000
0.0000 0.5000 0.5000
0.0000 0.0000 0.5000
0.5000 0.0000 0.5000
```


[7]
Material: LiY3Th3S8
Method: DFT, GGA-PBE
State: relaxed

Computed properties:
DFT total energy (eV per cell): -105.088
Energy relative to the elements, uncorrected (eV/f.u.): -28.5
Crystal system: trigonal
Symmetry: R-3m
M_tot (μB/f.u.): 0.0

The structure in POSCAR format:
```
LiY3Th3S8
1.0
7.8709 -0.0001 0.0000
-3.9355 6.8162 -0.0239
0.0000 -4.5213 6.5299
S Th Li Y
8 3 1 3
Direct
0.7562 0.5123 0.2620
0.2439 0.9942 0.7381
0.2438 0.4877 0.7380
0.7452 0.4903 0.7355
0.7503 0.9942 0.7381
0.2548 0.5097 0.2645
0.7561 0.0058 0.2619
0.2497 0.0058 0.2619
0.0000 0.0000 0.0000
0.5000 0.5000 0.0000
0.0000 0.5000 0.0000
0.0000 0.0000 0.5000
0.0000 0.5000 0.5000
0.5000 0.5000 0.5000
0.5000 0.0000 0.5000
```


[8]
Material: LiThZrS4
Method: DFT, GGA-PBE
State: relaxed

Computed properties:
DFT total energy (eV per cell): -91.963
Energy relative to the elements, uncorrected (eV/f.u.): -11.6
Crystal system: orthorhombic
Symmetry: Imma
M_tot (μB/f.u.): 0.0

The structure in POSCAR format:
```
LiThZrS4
1.0
-6.6297 -3.0225 -1.3077
-0.9033 -7.6699 1.3537
-4.4944 -1.8670 6.1474
Zr S Li Th
2 8 2 2
Direct
0.0000 0.0000 0.5000
0.5000 0.0000 0.5000
0.7395 0.7615 0.2615
0.2605 0.2385 0.7385
0.2521 0.7746 0.7211
0.2375 0.7615 0.2615
0.2521 0.2211 0.2746
0.7479 0.2254 0.2789
0.7625 0.2385 0.7385
0.7479 0.7789 0.7254
0.6381 0.6119 0.1119
0.3619 0.3881 0.8881
0.0000 0.0000 0.0000
0.0000 0.5000 0.5000
```